[1]
Pr3Sm5Dy4: optimized geometry, PBE.

The structure in POSCAR format:
```
Pr3Sm5Dy4
1.0
-1.548 4.752 3.348
-8.166 2.332 -1.681
0.153 -2.759 9.391
Sm Pr Dy
5 3 4
direct
0.377 0.048 0.198
0.500 0.500 0.500
0.785 0.542 0.888
0.623 0.952 0.802
0.215 0.458 0.112
0.000 0.500 0.500
0.480 0.311 0.728
0.520 0.689 0.272
0.166 0.045 0.624
0.140 0.778 0.942
0.834 0.955 0.376
0.860 0.222 0.058
```

Crystal system: monoclinic
Relative energy among the computed polymorphs in meV/atom: 206
DOS at the Fermi energy in states/eV/atom: 1.63
Size of the total moment in μB/f.u.: 0.00
Space group: C2/m (12)

=====

[2]
Pr4Sm7Dy: optimized geometry, PBE.

The structure in POSCAR format:
```
Pr4Sm7Dy
1.0
-6.780 -0.938 -1.392
-4.882 -7.175 -2.510
-0.588 -3.828 8.429
Sm Pr Dy
7 4 1
direct
0.292 0.808 0.617
0.736 0.512 0.949
0.264 0.488 0.051
0.708 0.192 0.383
0.500 0.000 0.000
0.013 0.685 0.358
0.987 0.315 0.642
0.449 0.356 0.718
0.767 0.839 0.690
0.233 0.161 0.310
0.551 0.644 0.282
0.000 0.000 0.000
```

Crystal system: triclinic
Relative energy among the computed polymorphs in meV/atom: 0
DOS at the Fermi energy in states/eV/atom: 1.57
Size of the total moment in μB/f.u.: 0.00
Space group: P-1 (2)

=====

[3]
Pr3Sm4Dy4: optimized geometry, PBE.

The structure in POSCAR format:
```
Pr3Sm4Dy4
1.0
5.775 0.000 0.000
-2.888 6.062 0.000
0.000 0.000 10.776
Sm Dy Pr
4 4 3
direct
0.886 0.772 0.500
0.959 0.918 0.000
0.752 0.503 0.213
0.752 0.503 0.787
0.104 0.208 0.301
0.614 0.228 0.500
0.104 0.208 0.699
0.556 0.112 0.000
0.409 0.818 0.292
0.409 0.818 0.708
0.254 0.509 0.000
```

Crystal system: orthorhombic
Relative energy among the computed polymorphs in meV/atom: 0
DOS at the Fermi energy in states/eV/atom: 1.62
Size of the total moment in μB/f.u.: 0.00
Space group: Amm2 (38)

=====

[4]
PrSm12Dy6: optimized geometry, PBE.

The structure in POSCAR format:
```
PrSm12Dy6
1.0
8.715 -0.166 -1.207
-1.364 8.609 -1.207
-0.144 -0.166 8.797
Sm Dy Pr
12 6 1
direct
0.083 0.356 0.356
0.917 0.644 0.644
0.356 0.083 0.356
0.644 0.917 0.644
0.356 0.356 0.083
0.500 0.759 0.241
0.500 0.241 0.759
0.241 0.500 0.759
0.759 0.241 0.500
0.759 0.500 0.241
0.241 0.759 0.500
0.644 0.644 0.917
0.340 0.901 0.901
0.099 0.660 0.099
0.901 0.340 0.901
0.901 0.901 0.340
0.099 0.099 0.660
0.660 0.099 0.099
0.000 0.000 0.000
```

Crystal system: trigonal
Relative energy among the computed polymorphs in meV/atom: 59
DOS at the Fermi energy in states/eV/atom: 1.95
Size of the total moment in μB/f.u.: 0.00
Space group: R-3m (166)

=====

[5]
Pr2Sm5Dy2: optimized geometry, PBE.

The structure in POSCAR format:
```
Pr2Sm5Dy2
1.0
0.568 6.453 10.217
5.014 -3.999 2.247
2.361 4.559 -7.430
Dy Sm Pr
4 10 4
direct
0.270 0.352 0.533
0.500 0.536 0.000
0.730 0.819 0.467
0.000 0.987 0.000
0.988 0.142 0.452
0.012 0.690 0.548
0.193 0.203 0.897
0.431 0.568 0.353
0.807 0.306 0.103
0.354 0.009 0.223
0.196 0.635 0.875
0.569 0.215 0.647
0.646 0.786 0.777
0.804 0.760 0.125
0.638 0.202 0.274
0.362 0.928 0.726
0.117 0.634 0.232
0.883 0.401 0.768
```

Crystal system: monoclinic
Relative energy among the computed polymorphs in meV/atom: 0
DOS at the Fermi energy in states/eV/atom: 1.46
Size of the total moment in μB/f.u.: 0.00
Space group: C2 (5)

=====

[6]
PrSm4Dy8: optimized geometry, PBE.

The structure in POSCAR format:
```
PrSm4Dy8
1.0
9.722 -0.001 -5.245
-6.275 9.091 -0.001
-2.353 -1.624 7.271
Dy Sm Pr
8 4 1
direct
0.523 0.761 0.284
0.999 0.239 0.760
0.001 0.761 0.240
0.522 0.761 0.760
0.999 0.761 0.760
0.477 0.239 0.716
0.478 0.239 0.240
0.001 0.239 0.240
0.000 0.000 0.000
0.500 0.500 0.000
0.000 0.500 0.000
0.500 0.000 0.000
0.000 0.500 0.500
```

Crystal system: cubic
DOS at the Fermi energy in states/eV/atom: 1.56
Size of the total moment in μB/f.u.: 1.47
Space group: Pm-3m (221)

=====

[7]
Pr3Sm3Dy: optimized geometry, PBE.

The structure in POSCAR format:
```
Pr3Sm3Dy
1.0
-5.069 6.299 -1.983
-2.864 -5.791 0.573
3.147 0.639 5.635
Pr Sm Dy
3 3 1
direct
0.418 0.405 0.000
0.418 0.000 0.405
0.014 0.595 0.595
0.616 0.643 0.643
0.973 0.357 0.000
0.973 0.000 0.357
0.562 0.000 0.000
```

Crystal system: trigonal
Relative energy among the computed polymorphs in meV/atom: 0
DOS at the Fermi energy in states/eV/atom: 1.59
Size of the total moment in μB/f.u.: 0.00
Space group: R3m (160)

=====

[8]
Pr2SmDy: optimized geometry, PBE.

The structure in POSCAR format:
```
Pr2SmDy
1.0
-0.549 3.204 -1.526
-3.465 -2.414 -3.821
-4.973 -0.551 4.858
Dy Pr Sm
1 2 1
direct
0.805 0.500 0.610
0.189 0.000 0.378
0.063 0.500 0.126
0.443 0.000 0.887
```

Crystal system: orthorhombic
Relative energy among the computed polymorphs in meV/atom: 45
DOS at the Fermi energy in states/eV/atom: 1.43
Size of the total moment in μB/f.u.: 0.00
Space group: Amm2 (38)

=====

Number 1: energy relative to the elements 21.3 kJ per mole of atoms. Number 2: energy relative to the elements 8.1 kJ per mole of atoms. Number 3: energy relative to the elements 14.7 kJ per mole of atoms. Number 4: energy relative to the elements 19.3 kJ per mole of atoms. Number 5: energy relative to the elements 14.6 kJ per mole of atoms. Number 6: energy relative to the elements 49.6 kJ per mole of atoms. Number 7: energy relative to the elements 21.8 kJ per mole of atoms. Number 8: energy relative to the elements 5.5 kJ per mole of atoms.